A relaxed structure of Y2TmGa3, computed with GGA-PBE.

Cell: 3.5283 5.9200 14.4761 Å, 90.00 90.00 90.00°
Closest atoms and distances in Å follow each position.
Space group Immm (No. 71)
Symmetry-distinct sites (fractional):
Y: 0.0000 0.0000 0.1678 (multiplicity 4)  6 Ga 2.96-3.01
Tm: 0.0000 0.0000 0.5000 (multiplicity 2)  6 Ga 2.96
Ga: 0.0000 0.5000 0.1639 (multiplicity 4)  2 Tm 2.96, 4 Y 2.96-3.01
Ga: 0.0000 0.5000 0.5000 (multiplicity 2)  2 Tm 2.96, 4 Y 3.00

Properties
- Energy relative to the elements: -369 meV/atom
- N(E_F): 6.47 states/eV/f.u.
- Crystal system: orthorhombic